[1]
A plane-wave DFT calculation with GGA-PBE was carried out for a geometry-optimized Tm2SiGe2 structure.

Geometry as POSCAR:
```
Tm2SiGe2
1.0
4.2090 0.0000 0.0000
2.1019 5.2912 0.0000
2.0977 1.4262 9.1417
Tm Si Ge
4 2 4
Cartesian
1.0547 1.1642 2.9223
3.1500 2.6084 8.0868
5.2587 4.1090 1.0549
7.3540 5.5533 6.2194
3.1550 3.4169 2.9101
5.2536 3.3005 6.2316
3.1490 1.9704 5.0200
5.2486 4.9887 8.1867
3.1600 1.7287 0.9550
5.2597 4.7471 4.1217
```

Energy relative to the elements, uncorrected (eV/atom): -0.607
Magnetic moment (μB/cell): 0.000
Density (g cm⁻³): 8.34
Calculated total energy (eV/atom): -5.33
Space-group type: P-1, No. 2
D(E_F) (states/eV/atom): 0.416

***

[2]
A plane-wave DFT calculation with GGA-PBE was carried out for a geometry-optimized TmSi2Ge structure.

Geometry as POSCAR:
```
TmSi2Ge
1.0
4.2242 0.0000 0.0000
0.0000 4.2242 0.0000
0.0000 0.0000 4.0832
Tm Si Ge
1 2 1
Cartesian
0.0000 0.0000 0.0000
0.0000 2.1121 2.0416
2.1121 0.0000 2.0416
2.1121 2.1121 0.0000
```

Energy relative to the elements, uncorrected (eV/atom): -0.222
Magnetic moment (μB/cell): 0.000
Density (g cm⁻³): 6.79
Calculated total energy (eV/atom): -5.21
Space-group type: P4/mmm, No. 123
D(E_F) (states/eV/atom): 0.420

***

[3]
A plane-wave DFT calculation with GGA-PBE was carried out for a geometry-optimized Tm2ZnSiGe structure.

Geometry as POSCAR:
```
Tm2ZnSiGe
1.0
7.1756 0.0000 0.0000
0.0000 4.0398 0.0000
-2.8337 0.0000 6.9722
Tm Zn Si Ge
4 2 2 2
Cartesian
-0.1569 1.0099 1.3862
0.9792 3.0298 4.1578
3.3627 1.0099 2.8144
4.4988 3.0298 5.5860
-0.1843 1.0099 6.6966
4.5262 3.0298 0.2756
1.8984 3.0298 1.1898
2.4435 1.0099 5.7823
-1.0815 1.0099 4.2781
5.4234 3.0298 2.6941
```

Energy relative to the elements, uncorrected (eV/atom): -0.568
Magnetic moment (μB/cell): 0.000
Density (g cm⁻³): 8.28
Calculated total energy (eV/atom): -4.62
Space-group type: P2_1/m, No. 11
D(E_F) (states/eV/atom): 0.529

***

[4]
A plane-wave DFT calculation with GGA-PBE was carried out for a geometry-optimized U2SiGe structure.

Geometry as POSCAR:
```
U2SiGe
1.0
3.0886 0.0000 0.0000
0.0000 3.0886 0.0000
0.0000 0.0000 8.3235
U Si Ge
2 1 1
Cartesian
0.0000 0.0000 2.0172
0.0000 0.0000 6.3063
1.5443 1.5443 0.0000
1.5443 1.5443 4.1618
```

Energy relative to the elements, uncorrected (eV/atom): -0.117
Magnetic moment (μB/cell): 4.813
Density (g cm⁻³): 12.06
Calculated total energy (eV/atom): -8.27
Space-group type: P4/mmm, No. 123
D(E_F) (states/eV/atom): 2.448

***

[5]
A plane-wave DFT calculation with GGA-PBE was carried out for a geometry-optimized USi2Ge structure.

Geometry as POSCAR:
```
USi2Ge
1.0
4.0972 0.0000 0.0000
0.0000 4.0972 0.0000
0.0000 0.0000 4.0574
U Si Ge
1 2 1
Cartesian
0.0000 0.0000 0.0000
0.0000 2.0486 2.0287
2.0486 0.0000 2.0287
2.0486 2.0486 0.0000
```

Excess energy over the best structure of this formula in the dataset (eV/atom): 0.000
Energy relative to the elements, uncorrected (eV/atom): -0.337
Magnetic moment (μB/cell): 0.000
Density (g cm⁻³): 8.94
Calculated total energy (eV/atom): -7.03
Space-group type: P4/mmm, No. 123
D(E_F) (states/eV/atom): 0.623

***

[6]
A plane-wave DFT calculation with GGA-PBE was carried out for a geometry-optimized U2SiGe structure.

Geometry as POSCAR:
```
U2SiGe
1.0
1.4919 0.8614 10.0609
-1.4919 0.8614 10.0609
0.0000 -1.7227 10.0609
U Si Ge
2 1 1
Cartesian
0.0000 0.0000 7.4865
0.0000 0.0000 22.6961
0.0000 0.0000 15.0913
0.0000 0.0000 0.0000
```

Energy relative to the elements, uncorrected (eV/atom): 0.001
Magnetic moment (μB/cell): 3.210
Density (g cm⁻³): 12.35
Calculated total energy (eV/atom): -8.15
Space-group type: R-3m, No. 166
D(E_F) (states/eV/atom): 2.365

***

[7]
A plane-wave DFT calculation with GGA-PBE was carried out for a geometry-optimized U4SiGe structure.

Geometry as POSCAR:
```
U4SiGe
1.0
-2.2767 2.8801 4.2754
2.2767 -2.8801 4.2754
2.2767 2.8801 -4.2754
U Si Ge
4 1 1
Cartesian
2.2767 -1.4587 2.7896
0.0000 1.4214 1.4858
2.2767 1.4587 2.7896
0.0000 4.3389 1.4858
2.2767 0.0000 0.0000
0.0000 0.0000 4.2754
```

Energy relative to the elements, uncorrected (eV/atom): -0.050
Magnetic moment (μB/cell): 0.000
Density (g cm⁻³): 15.59
Calculated total energy (eV/atom): -9.25
Space-group type: Immm, No. 71
D(E_F) (states/eV/atom): 2.104

***

[8]
A plane-wave DFT calculation with GGA-PBE was carried out for a geometry-optimized U6Si2Ge structure.

Geometry as POSCAR:
```
U6Si2Ge
1.0
8.1519 0.0000 0.0000
-4.0760 7.0598 0.0000
0.0000 0.0000 2.8819
U Si Ge
6 2 1
Cartesian
-1.3797 2.3897 0.0000
-2.6962 4.6700 0.0000
2.7594 0.0000 0.0000
1.3797 2.3897 0.0000
5.3925 0.0000 0.0000
2.6962 4.6700 0.0000
0.0000 4.7065 1.4410
4.0760 2.3532 1.4410
0.0000 0.0000 1.4410
```

Energy relative to the elements, uncorrected (eV/atom): -0.065
Magnetic moment (μB/cell): 0.002
Density (g cm⁻³): 15.59
Calculated total energy (eV/atom): -9.31
Space-group type: P6/mmm, No. 191
D(E_F) (states/eV/atom): 2.086